! Na2NdTmSe4 GGA-PBE relaxed; values from VASP
&SYSTEM
  ibrav = 0, nat = 8, ntyp = 4
/
ATOMIC_SPECIES
Na 22.99 Na.upf
Nd 144.24 Nd.upf
Tm 168.93 Tm.upf
Se 78.96 Se.upf
CELL_PARAMETERS angstrom
7.2602 0.0000 0.0000
0.0000 4.1902 0.0000
-2.4236 0.0000 7.0159
ATOMIC_POSITIONS crystal
Na 0.0000 0.0000 0.0000
Na 0.5000 0.5000 0.0000
Nd 0.0000 0.5000 0.5000
Tm 0.5000 0.0000 0.5000
Se 0.2549 0.0000 0.7336
Se 0.2666 0.5000 0.2712
Se 0.7334 0.5000 0.7288
Se 0.7451 0.0000 0.2664
! - ΔE_f (raw): -1.6846 eV/atom